PrSm6Ga | PBE | relaxed

Summary:
Calculated density, g/cm3: 7.12
Energy of formation from the pure elements, eV/f.u.: 1.07

a b c (Å): 7.0452 7.0452 7.0139
angles (deg): 104.31 104.31 120.62
Closest atoms and distances in Å follow each position.
Fractional positions:
Sm: 0.7341 0.7341 0.2677  1 Ga 2.83
Sm: 0.9296 0.4982 0.7401  1 Ga 3.09, 1 Sm 3.20, 1 Pr 3.26
Pr: 0.0000 0.0000 0.0000  6 Sm 3.23-3.26, 2 Ga 3.50
Sm: 0.2659 0.2659 0.7323  1 Ga 2.83
Sm: 0.5018 0.0704 0.2599  1 Ga 3.09, 1 Sm 3.20, 1 Pr 3.26
Sm: 0.0704 0.5018 0.2599  1 Ga 3.09, 1 Sm 3.20, 1 Pr 3.26
Sm: 0.4982 0.9296 0.7401  1 Ga 3.09, 1 Sm 3.20, 1 Pr 3.26
Ga: 0.5000 0.5000 0.5000  6 Sm 2.83-3.09